No. 1
VASP calculation (PBE) on DySnPd14 after structural relaxation.

Energy of formation   -0.326 eV/atom

Unit cell a=5.7295 b=5.7295 c=7.8927 alpha=90.00 beta=90.00 gamma=90.00
Sites, in units of the cell vectors:
Pd (0.8750, 0.8750, 0.0000)
Pd (0.3750, 0.8750, 0.0000)
Pd (0.1272, 0.6228, 0.7545)
Pd (0.6228, 0.6228, 0.2455)
Pd (0.3750, 0.8750, 0.5000)
Pd (0.6228, 0.1272, 0.2455)
Pd (0.3750, 0.3750, 0.0000)
Pd (0.8750, 0.3750, 0.0000)
Pd (0.1272, 0.1272, 0.7545)
Pd (0.8750, 0.3750, 0.5000)
Pd (0.1272, 0.6228, 0.2455)
Pd (0.6228, 0.6228, 0.7545)
Pd (0.6228, 0.1272, 0.7545)
Pd (0.1272, 0.1272, 0.2455)
Sn (0.3750, 0.3750, 0.5000)
Dy (0.8750, 0.8750, 0.5000)


No. 2
VASP calculation (PBE) on AgPPt3 after structural relaxation.

Energy of formation   0.072 eV/atom

Unit cell a=4.5025 b=4.5025 c=4.5025 alpha=90.00 beta=90.00 gamma=90.00
Sites, in units of the cell vectors:
Pt (0.0000, 0.5000, 0.0000)
Pt (0.5000, 0.0000, 0.0000)
Pt (0.0000, 0.0000, 0.5000)
P (0.0000, 0.0000, 0.0000)
Ag (0.5000, 0.5000, 0.5000)


No. 3
VASP calculation (PBE) on CaNb2AsCl after structural relaxation.

Formation energy (no corrections)   1.8623 eV per atom

Unit cell a=5.2869 b=5.0544 c=5.2869 alpha=90.00 beta=90.00 gamma=90.00
Last column: magnetic moment on the atom in μB.
Sites, in units of the cell vectors:
As (0.0000, 0.5000, 0.0000)  -0.20
Cl (0.5000, 0.5000, 0.5000)  -0.04
Nb (0.5000, 0.0000, 0.0000)  1.78
Nb (0.0000, 0.0000, 0.5000)  1.64
Ca (0.0000, 0.0000, 0.0000)  0.14


No. 4
VASP calculation (PBE) on ScHg2P after structural relaxation.

Energy of formation   -0.341 eV/atom

Unit cell a=7.5875 b=7.5875 c=7.5875 alpha=29.81 beta=29.81 gamma=29.81
Sites, in units of the cell vectors:
Hg (0.9974, 0.9974, 0.9974)
Hg (0.7606, 0.7606, 0.7606)
Sc (0.2315, 0.2315, 0.2315)
P (0.5104, 0.5104, 0.5104)